one:
Entry from Alexandria: an optimized crystal structure of TiMn3Te (PBE-GGA).

* space-group type: Pm-3m
* total magnetization: 8.73 μB/f.u.

Cell lengths 4.607, 4.607, 4.607 Å; angles 90.00, 90.00, 90.00 degrees
Sites, in units of the cell vectors:
Ti 0.000 0.000 0.000
Mn 0.000 0.000 0.500
Mn 0.000 0.500 0.000
Mn 0.500 0.000 0.000
Te 0.500 0.500 0.500

---

two:
Entry from Alexandria: an optimized crystal structure of TiMn3Te (PBE-GGA).

* space-group type: Pm-3m
* total magnetization: 7.48 μB/f.u.

Cell lengths 4.803, 4.803, 4.803 Å; angles 90.00, 90.00, 90.00 degrees
Sites, in units of the cell vectors:
Ti 0.000 0.000 0.000
Mn 0.000 0.500 0.500
Mn 0.500 0.000 0.500
Mn 0.500 0.500 0.000
Te 0.500 0.500 0.500

---

Decreasing stability: one, two

---

one:
Entry from Alexandria: an optimized crystal structure of Ti3MnTe (PBE-GGA).

* space-group type: Pm-3m
* total magnetization: 2.68 μB/f.u.

Cell lengths 4.966, 4.966, 4.966 Å; angles 90.00, 90.00, 90.00 degrees
Sites, in units of the cell vectors:
Ti 0.000 0.000 0.500
Ti 0.000 0.500 0.000
Ti 0.500 0.000 0.000
Mn 0.500 0.500 0.500
Te 0.000 0.000 0.000

---

two:
Entry from Alexandria: an optimized crystal structure of Ti3MnTe (PBE-GGA).

* space-group type: Pm-3m
* total magnetization: 0.00 μB/f.u.

Cell lengths 4.528, 4.528, 4.528 Å; angles 90.00, 90.00, 90.00 degrees
Sites, in units of the cell vectors:
Ti 0.000 0.000 0.500
Ti 0.000 0.500 0.000
Ti 0.500 0.000 0.000
Mn 0.000 0.000 0.000
Te 0.500 0.500 0.500

---

Decreasing stability: two, one

---

one:
Entry from Alexandria: an optimized crystal structure of Mn2TlTe (PBE-GGA).

* space-group type: I-4m2
* total magnetization: 8.01 μB/f.u.

Cell lengths 4.076, 4.076, 10.342 Å; angles 90.00, 90.00, 90.00 degrees
Sites, in units of the cell vectors:
Mn 0.000 0.000 0.000
Mn 0.000 0.500 0.250
Mn 0.500 0.000 0.750
Mn 0.500 0.500 0.500
Tl 0.000 0.000 0.500
Tl 0.500 0.500 0.000
Te 0.000 0.500 0.750
Te 0.500 0.000 0.250

---

two:
Entry from Alexandria: an optimized crystal structure of Mn2TlTe (PBE-GGA).

* space-group type: C2/m
* total magnetization: 7.81 μB/f.u.

Cell lengths 6.557, 7.337, 3.670 Å; angles 90.00, 101.92, 90.00 degrees
Sites, in units of the cell vectors:
Mn 0.250 0.250 0.000
Mn 0.250 0.750 0.000
Mn 0.750 0.250 0.000
Mn 0.750 0.750 0.000
Tl 0.000 0.000 0.500
Tl 0.500 0.500 0.500
Te 0.000 0.500 0.500
Te 0.500 0.000 0.500

---

Decreasing stability: one, two

---

one:
Entry from Alexandria: an optimized crystal structure of Mn2TlTe (PBE-GGA).

* space-group type: Imm2
* total magnetization: 7.29 μB/f.u.

Cell lengths 3.292, 4.500, 11.737 Å; angles 90.00, 90.00, 90.00 degrees
Sites, in units of the cell vectors:
Mn 0.000 0.000 0.000
Mn 0.000 0.500 0.298
Mn 0.500 0.000 0.798
Mn 0.500 0.500 0.500
Tl 0.000 0.000 0.459
Tl 0.500 0.500 0.959
Te 0.000 0.500 0.691
Te 0.500 0.000 0.191

---

two:
Entry from Alexandria: an optimized crystal structure of Mn2TlTe (PBE-GGA).

* space-group type: Fm-3m
* total magnetization: 0.00 μB/f.u.

Cell lengths 6.418, 6.418, 6.418 Å; angles 90.00, 90.00, 90.00 degrees
Sites, in units of the cell vectors:
Mn 0.250 0.250 0.250
Mn 0.250 0.250 0.750
Mn 0.250 0.750 0.250
Mn 0.250 0.750 0.750
Mn 0.750 0.250 0.250
Mn 0.750 0.250 0.750
Mn 0.750 0.750 0.250
Mn 0.750 0.750 0.750
Tl 0.000 0.000 0.000
Tl 0.000 0.500 0.500
Tl 0.500 0.000 0.500
Tl 0.500 0.500 0.000
Te 0.000 0.000 0.500
Te 0.000 0.500 0.000
Te 0.500 0.000 0.000
Te 0.500 0.500 0.500

---

three:
Entry from Alexandria: an optimized crystal structure of Mn2TlTe (PBE-GGA).

* space-group type: Amm2
* total magnetization: 7.38 μB/f.u.

Cell lengths 4.086, 3.902, 10.567 Å; angles 90.00, 90.00, 90.00 degrees
Sites, in units of the cell vectors:
Mn 0.000 0.000 0.000
Mn 0.000 0.500 0.500
Mn 0.500 0.000 0.179
Mn 0.500 0.500 0.679
Tl 0.000 0.000 0.726
Tl 0.000 0.500 0.226
Te 0.500 0.000 0.454
Te 0.500 0.500 0.954

---

Decreasing stability: three, one, two

---

one:
Entry from Alexandria: an optimized crystal structure of Mn2TlTe (PBE-GGA).

* space-group type: Cmmm
* total magnetization: 7.80 μB/f.u.

Cell lengths 6.338, 7.479, 3.567 Å; angles 90.00, 90.00, 90.00 degrees
Sites, in units of the cell vectors:
Mn 0.250 0.250 0.000
Mn 0.250 0.750 0.000
Mn 0.750 0.250 0.000
Mn 0.750 0.750 0.000
Tl 0.000 0.000 0.500
Tl 0.500 0.500 0.500
Te 0.000 0.500 0.500
Te 0.500 0.000 0.500

---

two:
Entry from Alexandria: an optimized crystal structure of Mn2TlTe (PBE-GGA).

* space-group type: P2/m
* total magnetization: 7.63 μB/f.u.

Cell lengths 3.948, 4.027, 5.665 Å; angles 90.00, 90.21, 90.00 degrees
Sites, in units of the cell vectors:
Mn 0.000 0.000 0.000
Mn 0.500 0.500 0.500
Tl 0.000 0.000 0.500
Te 0.500 0.500 0.000

---

three:
Entry from Alexandria: an optimized crystal structure of Mn2TlTe (PBE-GGA).

* space-group type: P4mm
* total magnetization: 6.28 μB/f.u.

Cell lengths 3.370, 3.370, 7.596 Å; angles 90.00, 90.00, 90.00 degrees
Sites, in units of the cell vectors:
Mn 0.000 0.000 0.000
Mn 0.500 0.500 0.186
Tl 0.500 0.500 0.775
Te 0.000 0.000 0.359

---

four:
Entry from Alexandria: an optimized crystal structure of Mn2TlTe (PBE-GGA).

* space-group type: P4/mmm
* total magnetization: 7.55 μB/f.u.

Cell lengths 3.552, 3.552, 6.646 Å; angles 90.00, 90.00, 90.00 degrees
Sites, in units of the cell vectors:
Mn 0.000 0.000 0.215
Mn 0.000 0.000 0.785
Tl 0.500 0.500 0.500
Te 0.500 0.500 0.000

---

Decreasing stability: three, two, four, one

---

one:
Entry from Alexandria: an optimized crystal structure of Mn2TlTe (PBE-GGA).

* space-group type: C2/m
* total magnetization: 8.03 μB/f.u.

Cell lengths 6.908, 3.947, 7.089 Å; angles 90.00, 108.42, 90.00 degrees
Sites, in units of the cell vectors:
Mn 0.247 0.000 0.241
Mn 0.253 0.500 0.759
Mn 0.747 0.500 0.241
Mn 0.753 0.000 0.759
Tl 0.000 0.000 0.500
Tl 0.500 0.500 0.500
Te 0.000 0.500 0.000
Te 0.500 0.000 0.000

---

two:
Entry from Alexandria: an optimized crystal structure of Mn2TlTe (PBE-GGA).

* space-group type: P2/m
* total magnetization: 7.44 μB/f.u.

Cell lengths 4.105, 3.421, 6.792 Å; angles 90.00, 90.26, 90.00 degrees
Sites, in units of the cell vectors:
Mn 0.001 0.000 0.195
Mn 0.999 0.000 0.805
Tl 0.500 0.500 0.000
Te 0.000 0.500 0.500

---

three:
Entry from Alexandria: an optimized crystal structure of Mn2TlTe (PBE-GGA).

* space-group type: F-43m
* total magnetization: 8.10 μB/f.u.

Cell lengths 7.145, 7.145, 7.145 Å; angles 90.00, 90.00, 90.00 degrees
Sites, in units of the cell vectors:
Mn 0.000 0.000 0.000
Mn 0.000 0.500 0.500
Mn 0.250 0.250 0.250
Mn 0.250 0.750 0.750
Mn 0.500 0.000 0.500
Mn 0.500 0.500 0.000
Mn 0.750 0.250 0.750
Mn 0.750 0.750 0.250
Tl 0.000 0.000 0.500
Tl 0.000 0.500 0.000
Tl 0.500 0.000 0.000
Tl 0.500 0.500 0.500
Te 0.250 0.250 0.750
Te 0.250 0.750 0.250
Te 0.750 0.250 0.250
Te 0.750 0.750 0.750

---

Decreasing stability: one, two, three

---

one:
Entry from Alexandria: an optimized crystal structure of Mn2TlTe (PBE-GGA).

* space-group type: I-42d
* total magnetization: 8.17 μB/f.u.

Cell lengths 4.802, 4.802, 17.544 Å; angles 90.00, 90.00, 90.00 degrees
Sites, in units of the cell vectors:
Mn 0.239 0.250 0.125
Mn 0.250 0.739 0.375
Mn 0.250 0.761 0.875
Mn 0.261 0.250 0.625
Mn 0.739 0.750 0.625
Mn 0.750 0.239 0.875
Mn 0.750 0.261 0.375
Mn 0.761 0.750 0.125
Tl 0.000 0.000 0.500
Tl 0.000 0.500 0.750
Tl 0.500 0.000 0.250
Tl 0.500 0.500 0.000
Te 0.000 0.000 0.000
Te 0.000 0.500 0.250
Te 0.500 0.000 0.750
Te 0.500 0.500 0.500

---

two:
Entry from Alexandria: an optimized crystal structure of Mn2TlTe (PBE-GGA).

* space-group type: Immm
* total magnetization: 7.83 μB/f.u.

Cell lengths 4.224, 5.210, 7.792 Å; angles 90.00, 90.00, 90.00 degrees
Sites, in units of the cell vectors:
Mn 0.000 0.000 0.247
Mn 0.000 0.000 0.753
Mn 0.500 0.500 0.253
Mn 0.500 0.500 0.747
Tl 0.000 0.500 0.000
Tl 0.500 0.000 0.500
Te 0.000 0.500 0.500
Te 0.500 0.000 0.000

---

Decreasing stability: two, one

---

one:
Entry from Alexandria: an optimized crystal structure of Mn2Tl3Te4 (PBE-GGA).

* space-group type: C2/m
* total magnetization: 9.01 μB/f.u.

Cell lengths 8.205, 8.205, 9.957 Å; angles 110.05, 110.05, 28.41 degrees
Sites, in units of the cell vectors:
Mn 0.245 0.245 0.350
Mn 0.755 0.755 0.650
Tl 0.000 0.000 0.500
Tl 0.394 0.394 0.036
Tl 0.606 0.606 0.964
Te 0.193 0.193 0.785
Te 0.372 0.372 0.631
Te 0.628 0.628 0.369
Te 0.807 0.807 0.215

---

two:
Entry from Alexandria: an optimized crystal structure of Mn2Tl3Te4 (PBE-GGA).

* space-group type: C2/c
* total magnetization: 9.00 μB/f.u.

Cell lengths 9.489, 9.489, 7.132 Å; angles 91.22, 91.22, 74.97 degrees
Sites, in units of the cell vectors:
Mn 0.083 0.332 0.072
Mn 0.332 0.083 0.572
Mn 0.668 0.917 0.428
Mn 0.917 0.668 0.928
Tl 0.104 0.896 0.250
Tl 0.252 0.512 0.517
Tl 0.488 0.748 0.983
Tl 0.512 0.252 0.017
Tl 0.748 0.488 0.483
Tl 0.896 0.104 0.750
Te 0.080 0.248 0.428
Te 0.204 0.555 0.014
Te 0.248 0.080 0.928
Te 0.445 0.796 0.486
Te 0.555 0.204 0.514
Te 0.752 0.920 0.072
Te 0.796 0.445 0.986
Te 0.920 0.752 0.572

---

Decreasing stability: two, one

---

one:
Entry from Alexandria: an optimized crystal structure of MnTlTe4 (PBE-GGA).

* space-group type: C2/m
* total magnetization: 0.00 μB/f.u.

Cell lengths 8.153, 8.153, 6.837 Å; angles 95.23, 95.23, 54.83 degrees
Sites, in units of the cell vectors:
Mn 0.011 0.011 0.304
Mn 0.989 0.989 0.696
Tl 0.300 0.300 0.834
Tl 0.700 0.700 0.166
Te 0.131 0.672 0.454
Te 0.198 0.198 0.244
Te 0.215 0.785 0.000
Te 0.328 0.869 0.546
Te 0.672 0.131 0.454
Te 0.785 0.215 0.000
Te 0.802 0.802 0.756
Te 0.869 0.328 0.546

---

two:
Entry from Alexandria: an optimized crystal structure of MnTlTe4 (PBE-GGA).

* space-group type: F-43m
* total magnetization: 5.53 μB/f.u.

Cell lengths 6.461, 6.461, 6.461 Å; angles 60.00, 60.00, 60.00 degrees
Sites, in units of the cell vectors:
Mn 0.000 0.000 0.000
Tl 0.250 0.250 0.250
Te 0.123 0.626 0.626
Te 0.626 0.123 0.626
Te 0.626 0.626 0.123
Te 0.626 0.626 0.626

---

Decreasing stability: one, two

---

one:
Entry from Alexandria: an optimized crystal structure of Mn2VTe4 (PBE-GGA).

* space-group type: R-3m
* total magnetization: 11.03 μB/f.u.

Cell lengths 13.651, 13.651, 13.651 Å; angles 16.59, 16.59, 16.59 degrees
Sites, in units of the cell vectors:
Mn 0.078 0.078 0.078
Mn 0.922 0.922 0.922
V 0.500 0.500 0.500
Te 0.208 0.208 0.208
Te 0.375 0.375 0.375
Te 0.625 0.625 0.625
Te 0.792 0.792 0.792

---

two:
Entry from Alexandria: an optimized crystal structure of Mn2VTe4 (PBE-GGA).

* space-group type: C2/m
* total magnetization: 9.23 μB/f.u.

Cell lengths 13.785, 3.995, 6.971 Å; angles 90.00, 119.58, 90.00 degrees
Sites, in units of the cell vectors:
Mn 0.249 0.000 0.222
Mn 0.251 0.500 0.778
Mn 0.749 0.500 0.222
Mn 0.751 0.000 0.778
V 0.000 0.500 0.500
V 0.500 0.000 0.500
Te 0.113 0.500 0.953
Te 0.129 0.000 0.465
Te 0.371 0.500 0.535
Te 0.387 0.000 0.047
Te 0.613 0.000 0.953
Te 0.629 0.500 0.465
Te 0.871 0.000 0.535
Te 0.887 0.500 0.047

---

Decreasing stability: two, one

---

one:
Entry from Alexandria: an optimized crystal structure of MnV2Te6 (PBE-GGA).

* space-group type: P-3m1
* total magnetization: 5.33 μB/f.u.

Cell lengths 11.606, 11.606, 6.048 Å; angles 90.00, 90.00, 120.00 degrees
Sites, in units of the cell vectors:
Mn 0.000 0.000 0.000
Mn 0.333 0.667 0.514
Mn 0.667 0.333 0.486
V 0.000 0.349 0.000
V 0.000 0.651 0.000
V 0.349 0.000 0.000
V 0.349 0.349 0.000
V 0.651 0.000 0.000
V 0.651 0.651 0.000
Te 0.103 0.552 0.285
Te 0.114 0.229 0.240
Te 0.114 0.886 0.240
Te 0.223 0.446 0.762
Te 0.223 0.777 0.762
Te 0.229 0.114 0.760
Te 0.446 0.223 0.238
Te 0.448 0.552 0.285
Te 0.448 0.897 0.285
Te 0.552 0.103 0.715
Te 0.552 0.448 0.715
Te 0.554 0.777 0.762
Te 0.771 0.886 0.240
Te 0.777 0.223 0.238
Te 0.777 0.554 0.238
Te 0.886 0.114 0.760
Te 0.886 0.771 0.760
Te 0.897 0.448 0.715

---

two:
Entry from Alexandria: an optimized crystal structure of MnV2Te6 (PBE-GGA).

* space-group type: P4_2/mnm
* total magnetization: 5.65 μB/f.u.

Cell lengths 6.389, 6.389, 11.934 Å; angles 90.00, 90.00, 90.00 degrees
Sites, in units of the cell vectors:
Mn 0.000 0.000 0.000
Mn 0.500 0.500 0.500
V 0.000 0.000 0.332
V 0.000 0.000 0.668
V 0.500 0.500 0.168
V 0.500 0.500 0.832
Te 0.199 0.199 0.168
Te 0.199 0.199 0.500
Te 0.199 0.199 0.832
Te 0.301 0.699 0.000
Te 0.301 0.699 0.332
Te 0.301 0.699 0.668
Te 0.699 0.301 0.000
Te 0.699 0.301 0.332
Te 0.699 0.301 0.668
Te 0.801 0.801 0.168
Te 0.801 0.801 0.500
Te 0.801 0.801 0.832

---

Decreasing stability: one, two